Entry 1:
# PrFeCo4

A crystal of PrFeCo4 relaxed with PBEsol (meta-GGA SCAN, Alexandria).

Cell: 3.8745 4.9742 4.9742 Å, 120.00 90.00 90.00°
Closest atoms and distances in Å follow each position.
Atoms (fractional coordinates):
Pr  0.0000  0.3333  0.6667  15 Co 2.87-3.15, 3 Fe 2.87
Co  0.0000  0.6667  0.3333  6 Co 2.40
Co  0.5000  0.8321  0.1679  6 Co 2.40-2.51, 2 Fe 2.42
Co  0.5000  0.3359  0.1679  6 Co 2.40-2.51, 2 Fe 2.42
Co  0.5000  0.8321  0.6641  6 Co 2.40-2.51, 2 Fe 2.42
Fe  0.0000  0.0000  0.0000  6 Co 2.42

Calculated values
**Energy**: -130.7 eV/cell
**E_form**: 0.000 eV/atom
**SG**: P-6m2, No. 187

Entry 2:
# FeCoPt

A crystal of FeCoPt relaxed with PBEsol (meta-GGA SCAN, Alexandria).

Cell: 2.6530 2.6530 5.5998 Å, 103.70 103.70 90.00°
Closest atoms and distances in Å follow each position.
Atoms (fractional coordinates):
Co  0.0086  0.0086  0.0171  4 Fe 2.44, 4 Pt 2.63, 4 Co 2.65
Fe  0.6572  0.6572  0.3143  4 Co 2.44, 4 Pt 2.65, 4 Fe 2.65
Pt  0.3343  0.3343  0.6686  4 Co 2.63, 4 Fe 2.65, 4 Pt 2.65

Calculated values
**Energy**: -106.2 eV/cell
**E_form**: -0.193 eV/atom
**SG**: I4mm, No. 107
**Distance to the lowest polymorph of the same formula**: 0.0000 eV/atom

Entry 3:
# FeCoPt

A crystal of FeCoPt relaxed with PBEsol (meta-GGA SCAN, Alexandria).

Cell: 2.6436 2.6436 6.2146 Å, 90.00 90.00 120.00°
Closest atoms and distances in Å follow each position.
Atoms (fractional coordinates):
Co  0.0000  0.0000  0.9835  3 Fe 2.41, 6 Co 2.64, 3 Pt 2.66
Fe  0.3333  0.6667  0.6825  3 Co 2.41, 6 Fe 2.64, 3 Pt 2.65
Pt  0.6667  0.3333  0.3340  6 Pt 2.64, 3 Fe 2.65, 3 Co 2.66

Calculated values
**Energy**: -105.9 eV/cell
**E_form**: -0.095 eV/atom
**SG**: P3m1, No. 156
**Distance to the lowest polymorph of the same formula**: 0.0981 eV/atom

Entry 4:
# FeCoPt

A crystal of FeCoPt relaxed with PBEsol (meta-GGA SCAN, Alexandria).

Cell: 3.9290 3.9290 3.9290 Å, 60.00 60.00 60.00°
Closest atoms and distances in Å follow each position.
Atoms (fractional coordinates):
Co  0.5000  0.5000  0.5000  4 Fe 2.41
Fe  0.2500  0.2500  0.2500  4 Co 2.41, 4 Pt 2.41
Pt  0.0000  0.0000  0.0000  4 Fe 2.41

Calculated values
**Energy**: -105.2 eV/cell
**E_form**: 0.134 eV/atom
**SG**: F-43m, No. 216
**Distance to the lowest polymorph of the same formula**: 0.3277 eV/atom

Entry 5:
# FeCo2Pt

A crystal of FeCo2Pt relaxed with PBEsol (meta-GGA SCAN, Alexandria).

Cell: 3.6147 3.6147 4.4455 Å, 113.99 113.99 90.00°
Closest atoms and distances in Å follow each position.
Atoms (fractional coordinates):
Co  0.7500  0.2500  0.5000  4 Co 2.56, 4 Fe 2.56, 4 Pt 2.56
Co  0.2500  0.7500  0.5000  4 Co 2.56, 4 Fe 2.56, 4 Pt 2.56
Fe  0.0000  0.0000  0.0000  4 Pt 2.56, 8 Co 2.56
Pt  0.5000  0.5000  0.0000  4 Fe 2.56, 8 Co 2.56

Calculated values
**Energy**: -123.6 eV/cell
**E_form**: -0.173 eV/atom
**SG**: I4/mmm, No. 139

Entry 6:
# FeCo2Pt

A crystal of FeCo2Pt relaxed with PBEsol (meta-GGA SCAN, Alexandria).

Cell: 2.5978 2.5978 8.4083 Å, 81.11 81.11 60.00°
Closest atoms and distances in Å follow each position.
Atoms (fractional coordinates):
Co  0.0059  0.0059  0.9824  9 Co 2.41-2.60, 3 Pt 2.66
Co  0.7483  0.7483  0.7551  9 Co 2.41-2.60, 3 Fe 2.50
Fe  0.4954  0.4954  0.5139  3 Co 2.50, 6 Fe 2.60, 3 Pt 2.66
Pt  0.2505  0.2505  0.2486  6 Pt 2.60, 3 Fe 2.66, 3 Co 2.66

Calculated values
**Energy**: -123.1 eV/cell
**E_form**: -0.035 eV/atom
**SG**: R3m, No. 160

Entry 7:
# FeCo2Pt

A crystal of FeCo2Pt relaxed with PBEsol (meta-GGA SCAN, Alexandria).

Cell: 2.6038 4.4017 4.4017 Å, 108.58 90.00 90.00°
Closest atoms and distances in Å follow each position.
Atoms (fractional coordinates):
Co  0.0000  0.5000  0.0000  4 Fe 2.56, 4 Pt 2.56, 4 Co 2.57-2.60
Co  0.0000  0.0000  0.5000  4 Pt 2.56, 4 Fe 2.56, 4 Co 2.57-2.60
Fe  0.5000  0.0000  0.0000  8 Co 2.56, 2 Pt 2.57, 2 Fe 2.60
Pt  0.5000  0.5000  0.5000  8 Co 2.56, 2 Fe 2.57, 2 Pt 2.60

Calculated values
**Energy**: -123.4 eV/cell
**E_form**: -0.128 eV/atom
**SG**: Cmmm, No. 65

Entry 8:
# FeCo2Pt

A crystal of FeCo2Pt relaxed with PBEsol (meta-GGA SCAN, Alexandria).

Cell: 2.6044 3.5157 5.1978 Å, 90.00 90.00 90.00°
Closest atoms and distances in Å follow each position.
Atoms (fractional coordinates):
Co  0.0000  0.0000  0.7694  3 Co 2.40-2.60, 4 Fe 2.49, 4 Pt 2.60
Co  0.0000  0.0000  0.2306  3 Co 2.40-2.60, 4 Fe 2.49, 4 Pt 2.60
Fe  0.5000  0.5000  0.0000  8 Co 2.49, 2 Pt 2.60, 2 Fe 2.60
Pt  0.5000  0.5000  0.5000  8 Co 2.60, 2 Fe 2.60, 2 Pt 2.60

Calculated values
**Energy**: -123.3 eV/cell
**E_form**: -0.104 eV/atom
**SG**: Pmmm, No. 47

Entry 9:
# FeCo3Pt

A crystal of FeCo3Pt relaxed with PBEsol (meta-GGA SCAN, Alexandria).

Cell: 4.4751 4.4751 4.4751 Å, 90.00 90.00 90.00°
Closest atoms and distances in Å follow each position.
Atoms (fractional coordinates):
Co  0.0000  0.5000  0.0000  2 Pt 2.24
Co  0.0000  0.0000  0.5000  2 Pt 2.24
Co  0.5000  0.0000  0.0000  2 Pt 2.24
Fe  0.5000  0.5000  0.5000  12 Co 3.16
Pt  0.0000  0.0000  0.0000  6 Co 2.24

Calculated values
**Energy**: -133.3 eV/cell
**E_form**: 1.384 eV/atom
**SG**: Pm-3m, No. 221

Entry 10:
# FeCo2Re

A crystal of FeCo2Re relaxed with PBEsol (meta-GGA SCAN, Alexandria).

Cell: 3.5598 3.5598 4.3128 Å, 114.40 114.40 89.96°
Closest atoms and distances in Å follow each position.
Atoms (fractional coordinates):
Co  0.0000  0.0000  0.0000  4 Co 2.50, 4 Re 2.50, 4 Fe 2.52
Co  0.7501  0.2500  0.5001  4 Fe 2.50, 4 Co 2.50, 4 Re 2.52
Fe  0.4999  0.5000  0.9999  8 Co 2.50-2.52, 4 Re 2.50
Re  0.2500  0.7500  0.5000  8 Co 2.50-2.52, 4 Fe 2.50

Calculated values
**Energy**: -123.2 eV/cell
**E_form**: 0.156 eV/atom
**SG**: I-4m2, No. 119
**Distance to the lowest polymorph of the same formula**: 0.0394 eV/atom

Entry 11:
# FeCo4Re

A crystal of FeCo4Re relaxed with PBEsol (meta-GGA SCAN, Alexandria).

Cell: 4.5197 4.5197 4.5197 Å, 60.00 60.00 60.00°
Closest atoms and distances in Å follow each position.
Atoms (fractional coordinates):
Co  0.3754  0.3754  0.3754  6 Co 2.25-2.27
Co  0.3754  0.3754  0.8738  6 Co 2.25-2.27
Co  0.8738  0.3754  0.3754  6 Co 2.25-2.27
Co  0.3754  0.8738  0.3754  6 Co 2.25-2.27
Fe  0.7500  0.7500  0.7500  12 Co 2.65, 4 Re 2.77
Re  0.0000  0.0000  0.0000  12 Co 2.65, 4 Fe 2.77

Calculated values
**Energy**: -157.1 eV/cell
**E_form**: 0.224 eV/atom
**SG**: F-43m, No. 216

Entry 12:
# FeCo2Re

A crystal of FeCo2Re relaxed with PBEsol (meta-GGA SCAN, Alexandria).

Cell: 4.0333 4.0333 4.0333 Å, 60.00 60.00 60.00°
Closest atoms and distances in Å follow each position.
Atoms (fractional coordinates):
Co  0.7500  0.7500  0.7500  4 Fe 2.47, 4 Re 2.47
Co  0.2500  0.2500  0.2500  4 Re 2.47, 4 Fe 2.47
Fe  0.0000  0.0000  0.0000  8 Co 2.47
Re  0.5000  0.5000  0.5000  8 Co 2.47

Calculated values
**Energy**: -123.3 eV/cell
**E_form**: 0.132 eV/atom
**SG**: Fm-3m, No. 225
**Distance to the lowest polymorph of the same formula**: 0.0153 eV/atom

Q: What is the energy in the fifth record?
A: -123.6 eV/cell

Q: Among the records above, which one has the lowest energy?
A: FeCo4Re

Q: Among the records above, which one has the highest energy?
A: number 4

Q: E_form of number 1 (PrFeCo4)?
A: 0.000 eV/atom